1.
Entry from Alexandria via LeMat-Bulk: a relaxed PmAl11Ir crystal (GGA-PBE).

DFT total energy   -4.51 eV/atom
DOS(E_F)   4.79 states/eV/f.u.
Space-group type   C2/m (12)
Energy of formation from the pure elements   -0.29 eV per atom

Cell lengths 5.2020, 7.2304, 6.8431 Å; angles 82.78, 67.66, 70.69 degrees
Positions (direct):
Al 0.0000 0.5000 0.0000
Al 0.5003 0.7724 0.2192
Al 0.3581 0.6407 0.6501
Al 0.0082 0.6407 0.3499
Al 0.7195 0.7724 0.7808
Ir 0.5000 0.5000 0.0000
Pm 0.0000 0.0000 0.0000
Al 0.9918 0.3593 0.6501
Al 0.0000 0.0000 0.5000
Al 0.5000 0.0000 0.5000
Al 0.4997 0.2276 0.7808
Al 0.2805 0.2276 0.2192
Al 0.6419 0.3593 0.3499

2.
Entry from Alexandria via LeMat-Bulk: a relaxed PmAl2Ir crystal (GGA-PBE).

DFT total energy   -6.08 eV/atom
DOS(E_F)   2.39 states/eV/f.u.
Space-group type   Pnma (62)
Relative energy among the computed polymorphs   0.0000 eV per atom
Energy of formation from the pure elements   -0.80 eV per atom

Cell lengths 5.8446, 7.0509, 15.3668 Å; angles 90.00, 90.00, 90.00 degrees
Positions (direct):
Pm 0.5318 0.7500 0.8624
Al 0.2309 0.0607 0.9546
Al 0.7309 0.5607 0.5454
Al 0.0511 0.9459 0.7907
Pm 0.0318 0.2500 0.6376
Ir 0.0059 0.7500 0.9307
Al 0.7309 0.9393 0.5454
Al 0.2691 0.4393 0.4546
Al 0.2691 0.0607 0.4546
Ir 0.2858 0.2500 0.8099
Al 0.2309 0.4393 0.9546
Pm 0.9682 0.7500 0.3624
Pm 0.4682 0.2500 0.1376
Pm 0.7508 0.2500 0.4000
Al 0.7691 0.9393 0.0454
Pm 0.2492 0.7500 0.6000
Al 0.9489 0.4459 0.2093
Al 0.4489 0.9459 0.2907
Al 0.5511 0.0541 0.7093
Ir 0.9941 0.2500 0.0693
Al 0.4489 0.5541 0.2907
Pm 0.2508 0.7500 0.1000
Pm 0.7492 0.2500 0.9000
Ir 0.2142 0.2500 0.3099
Al 0.9489 0.0541 0.2093
Ir 0.7858 0.7500 0.6901
Ir 0.7142 0.7500 0.1901
Al 0.0511 0.5541 0.7907
Al 0.7691 0.5607 0.0454
Al 0.5511 0.4459 0.7093
Ir 0.5059 0.2500 0.5693
Ir 0.4941 0.7500 0.4307

3.
Entry from Alexandria via LeMat-Bulk: a relaxed PmAlIr crystal (GGA-PBE).

DFT total energy   -6.62 eV/atom
DOS(E_F)   1.99 states/eV/f.u.
Space-group type   Pnma (62)
Relative energy among the computed polymorphs   0.0000 eV per atom
Energy of formation from the pure elements   -0.83 eV per atom

Cell lengths 4.6014, 7.1370, 7.4178 Å; angles 90.00, 90.00, 90.00 degrees
Positions (direct):
Al 0.2500 0.1089 0.8140
Pm 0.7500 0.3151 0.0285
Pm 0.2500 0.6849 0.9715
Ir 0.7500 0.9302 0.8450
Pm 0.2500 0.8151 0.4715
Al 0.7500 0.6089 0.6860
Ir 0.7500 0.5698 0.3450
Ir 0.2500 0.4302 0.6550
Al 0.7500 0.8911 0.1860
Al 0.2500 0.3911 0.3140
Pm 0.7500 0.1849 0.5285
Ir 0.2500 0.0698 0.1550

4.
Entry from Alexandria via LeMat-Bulk: a relaxed PmAl2Ir crystal (GGA-PBE).

DFT total energy   -6.07 eV/atom
DOS(E_F)   3.16 states/eV/f.u.
Space-group type   Cmcm (63)
Relative energy among the computed polymorphs   0.0013 eV per atom
Energy of formation from the pure elements   -0.80 eV per atom

Cell lengths 4.2197, 5.7038, 7.1819 Å; angles 90.00, 90.00, 111.71 degrees
Positions (direct):
Pm 0.9378 0.8756 0.2500
Ir 0.7850 0.5700 0.7500
Al 0.6616 0.3231 0.0568
Ir 0.2150 0.4300 0.2500
Pm 0.0622 0.1244 0.7500
Al 0.6616 0.3231 0.4432
Al 0.3384 0.6769 0.5568
Al 0.3384 0.6769 0.9432

5.
Entry from Alexandria via LeMat-Bulk: a relaxed Pm2Al3IrPt12 crystal (GGA-PBE).

DFT total energy   -6.04 eV/atom
DOS(E_F)   12.00 states/eV/f.u.
Space-group type   R-3m (166)
Energy of formation from the pure elements   -0.37 eV per atom

Cell lengths 8.1198, 8.1198, 8.1198 Å; angles 58.55, 58.55, 58.55 degrees
Positions (direct):
Pt 0.1268 0.6120 0.1268
Al 0.5000 0.0000 0.0000
Pt 0.8724 0.3752 0.3752
Pt 0.6120 0.1268 0.1268
Pt 0.3752 0.8724 0.3752
Pm 0.3745 0.3745 0.3745
Al 0.0000 0.5000 0.0000
Pt 0.8732 0.3880 0.8732
Al 0.0000 0.0000 0.5000
Pt 0.8732 0.8732 0.3880
Pt 0.3752 0.3752 0.8724
Pm 0.6255 0.6255 0.6255
Pt 0.1268 0.1268 0.6120
Pt 0.3880 0.8732 0.8732
Pt 0.6248 0.6248 0.1276
Pt 0.6248 0.1276 0.6248
Pt 0.1276 0.6248 0.6248
Ir 0.0000 0.0000 0.0000

6.
Entry from Alexandria via LeMat-Bulk: a relaxed PmAl4Ir2Pt crystal (GGA-PBE).

DFT total energy   -6.26 eV/atom
DOS(E_F)   3.28 states/eV/f.u.
Space-group type   R-3m (166)
Energy of formation from the pure elements   -0.82 eV per atom

Cell lengths 4.2537, 4.2537, 9.1790 Å; angles 76.60, 76.60, 60.00 degrees
Positions (direct):
Pt 0.5000 0.5000 0.5000
Al 0.1301 0.1301 0.6097
Ir 0.2319 0.2319 0.3044
Al 0.8699 0.8699 0.3903
Al 0.4035 0.4035 0.7894
Ir 0.7681 0.7681 0.6956
Al 0.5965 0.5965 0.2106
Pm 0.0000 0.0000 0.0000

7.
Entry from Alexandria via LeMat-Bulk: a relaxed PmPuAlIr crystal (GGA-PBE).

DFT total energy   -8.21 eV/atom
DOS(E_F)   6.85 states/eV/f.u.
Space-group type   F-43m (216)
Energy of formation from the pure elements   -0.29 eV per atom

Cell lengths 5.0245, 5.0245, 5.0245 Å; angles 60.00, 60.00, 60.00 degrees
Each line ends with the local moment (μB).
Positions (direct):
Ir 0.7500 0.7500 0.7500  -0.20
Pm 0.0000 0.0000 0.0000  0.05
Al 0.2500 0.2500 0.2500  -0.01
Pu 0.5000 0.5000 0.5000  5.22

8.
Entry from Alexandria via LeMat-Bulk: a relaxed PmAl3IrRh crystal (GGA-PBE).

DFT total energy   -5.98 eV/atom
DOS(E_F)   2.10 states/eV/f.u.
Space-group type   Cmcm (63)
Energy of formation from the pure elements   -0.62 eV per atom

Cell lengths 5.6228, 7.7379, 6.6867 Å; angles 125.35, 90.00, 90.00 degrees
Positions (direct):
Al 0.2500 0.1772 0.3544
Al 0.5000 0.7380 0.0000
Ir 0.2500 0.4049 0.8099
Pm 0.2500 0.7087 0.4174
Al 0.0000 0.2620 0.0000
Al 0.0000 0.7380 0.0000
Pm 0.7500 0.2913 0.5826
Rh 0.7500 0.0432 0.0863
Rh 0.2500 0.9568 0.9137
Al 0.7500 0.8228 0.6456
Ir 0.7500 0.5951 0.1901
Al 0.5000 0.2620 0.0000